No. 1
Computed, not measured: an optimized crystal structure of Mg2Cd3Rh at the PBE level of DFT.

* total magnetization: 0.000 μB per atom
* mass density: 6.6 g cm⁻³
* electronic total energy: -14.1 eV for the cell shown
* N(E_F): 0.43 states/eV/atom
* formation enthalpy at 0 K: -0.139 eV per atom

a = 3.095 Å, b = 4.566 Å, c = 8.724 Å
α = 90.00°, β = 90.00°, γ = 90.00°
Sites, in units of the cell vectors:
Mg1 0.000 0.000 0.000
Mg2 0.000 0.500 0.395
Cd1 0.500 0.000 0.584
Cd2 0.500 0.500 0.107
Cd3 0.500 0.500 0.780
Rh1 0.500 0.000 0.276

No. 2
Computed, not measured: an optimized crystal structure of Y5RhS4 at the PBE level of DFT.

* total magnetization: 0.000 μB per atom
* E_form (uncorrected): -1659.5 kJ/mol of formula units
* mass density: 5.1 g cm⁻³
* electronic total energy: -73.4 eV for the cell shown
* N(E_F): 0.51 states/eV/atom

a = 14.298 Å, b = 14.298 Å, c = 14.298 Å
α = 164.13°, β = 164.13°, γ = 22.51°
Sites, in units of the cell vectors:
Y1 0.000 0.000 0.000
Y2 0.203 0.203 0.000
Y3 0.401 0.401 0.000
Y4 0.599 0.599 0.000
Y5 0.797 0.797 0.000
Rh1 0.500 0.500 0.000
S1 0.104 0.104 0.000
S2 0.302 0.302 0.000
S3 0.698 0.698 0.000
S4 0.896 0.896 0.000

No. 3
Computed, not measured: an optimized crystal structure of MgRu2Pb at the PBE level of DFT.

* total magnetization: 0.000 μB per atom
* mass density: 10.0 g cm⁻³
* electronic total energy: -22.3 eV for the cell shown
* N(E_F): 0.93 states/eV/atom
* formation enthalpy at 0 K: 0.389 eV per atom

a = 3.006 Å, b = 4.443 Å, c = 5.397 Å
α = 90.00°, β = 91.67°, γ = 90.00°
Sites, in units of the cell vectors:
Mg1 0.000 0.000 0.000
Ru1 0.298 0.500 0.793
Ru2 0.702 0.500 0.207
Pb1 0.500 0.000 0.500

No. 4
Computed, not measured: an optimized crystal structure of HoZrNiRh at the PBE level of DFT.

* total magnetization: 0.000 μB per atom
* mass density: 9.4 g cm⁻³
* electronic total energy: -28.5 eV for the cell shown
* N(E_F): 1.37 states/eV/atom
* formation enthalpy at 0 K: -0.556 eV per atom

a = 4.710 Å, b = 4.710 Å, c = 4.710 Å
α = 60.00°, β = 60.00°, γ = 60.00°
Sites, in units of the cell vectors:
Ho1 0.000 0.000 0.000
Zr1 0.500 0.500 0.500
Ni1 0.250 0.250 0.250
Rh1 0.750 0.750 0.750

No. 5
Computed, not measured: an optimized crystal structure of Nb2P2S at the PBE level of DFT.

* total magnetization: 0.000 μB per atom
* E_form (uncorrected): -334.9 kJ/mol of formula units
* mass density: 5.8 g cm⁻³
* electronic total energy: -77.1 eV for the cell shown
* N(E_F): 0.38 states/eV/atom

a = 6.903 Å, b = 6.903 Å, c = 3.342 Å
α = 90.00°, β = 90.00°, γ = 90.00°
Sites, in units of the cell vectors:
Nb1 0.157 0.343 0.000
Nb2 0.343 0.843 0.000
Nb3 0.657 0.157 0.000
Nb4 0.843 0.657 0.000
P1 0.131 0.631 0.500
P2 0.369 0.131 0.500
P3 0.631 0.869 0.500
P4 0.869 0.369 0.500
S1 0.000 0.000 0.000
S2 0.500 0.500 0.000

No. 6
Computed, not measured: an optimized crystal structure of AsWBr2 at the PBE level of DFT.

* total magnetization: 0.000 μB per atom
* E_form (uncorrected): -10.1 kJ/mol of formula units
* mass density: 6.3 g cm⁻³
* electronic total energy: -21.1 eV for the cell shown
* N(E_F): 0.39 states/eV/atom
* polymorph energy (0 for the lowest one): 0.000 eV per atom

a = 4.806 Å, b = 4.806 Å, c = 7.859 Å
α = 107.20°, β = 107.20°, γ = 39.63°
Sites, in units of the cell vectors:
As1 0.000 0.000 0.000
W1 0.710 0.710 0.000
Br1 0.182 0.182 0.723
Br2 0.333 0.333 0.277

No. 7
Computed, not measured: an optimized crystal structure of CoAg2Sb at the PBE level of DFT.

* total magnetization: 0.346 μB per atom
* E_form (uncorrected): 101.6 kJ/mol of formula units
* mass density: 9.4 g cm⁻³
* electronic total energy: -15.9 eV for the cell shown
* N(E_F): 0.81 states/eV/atom

a = 3.950 Å, b = 3.950 Å, c = 4.474 Å
α = 90.00°, β = 90.00°, γ = 90.00°
Sites, in units of the cell vectors:
Co1 0.000 0.000 0.000
Ag1 0.000 0.500 0.500
Ag2 0.500 0.000 0.500
Sb1 0.500 0.500 0.000

No. 8
Computed, not measured: an optimized crystal structure of Ba2TcGeW at the PBE level of DFT.

* total magnetization: 0.962 μB per atom
* mass density: 6.3 g cm⁻³
* electronic total energy: -25.4 eV for the cell shown
* N(E_F): 0.91 states/eV/atom
* formation enthalpy at 0 K: 1.277 eV per atom

a = 5.880 Å, b = 5.880 Å, c = 4.827 Å
α = 90.00°, β = 90.00°, γ = 90.00°
Sites, in units of the cell vectors:
Ba1 0.000 0.500 0.000
Ba2 0.500 0.000 0.000
Tc1 0.000 0.000 0.000
Ge1 0.000 0.000 0.500
W1 0.500 0.500 0.500

No. 9
Computed, not measured: an optimized crystal structure of Sr3PuC2N6 at the PBE level of DFT.

* total magnetization: 0.333 μB per atom
* E_form (uncorrected): -801.1 kJ/mol of formula units
* mass density: 5.7 g cm⁻³
* electronic total energy: -96.1 eV for the cell shown
* N(E_F): 0.50 states/eV/atom

a = 5.621 Å, b = 5.621 Å, c = 6.603 Å
α = 90.00°, β = 90.00°, γ = 120.00°
Sites, in units of the cell vectors:
Sr1 0.000 0.000 0.000
Sr2 0.333 0.667 0.686
Sr3 0.667 0.333 0.314
Pu1 0.000 0.000 0.500
C1 0.333 0.667 0.277
C2 0.667 0.333 0.723
N1 0.192 0.384 0.287
N2 0.192 0.808 0.287
N3 0.384 0.192 0.713
N4 0.616 0.808 0.287
N5 0.808 0.192 0.713
N6 0.808 0.616 0.713

No. 10
Computed, not measured: an optimized crystal structure of Na3Tb2NdSe6 at the PBE level of DFT.

* total magnetization: 0.000 μB per atom
* E_form (uncorrected): -1966.6 kJ/mol of formula units
* mass density: 5.2 g cm⁻³
* electronic total energy: -59.3 eV for the cell shown
* N(E_F): 0.00 states/eV/atom

a = 7.284 Å, b = 7.284 Å, c = 7.421 Å
α = 99.42°, β = 99.42°, γ = 120.00°
Sites, in units of the cell vectors:
Na1 0.000 0.000 0.000
Na2 0.334 0.666 0.000
Na3 0.666 0.334 0.000
Tb1 0.167 0.833 0.500
Tb2 0.833 0.167 0.500
Nd1 0.500 0.500 0.500
Se1 0.082 0.423 0.268
Se2 0.237 0.237 0.733
Se3 0.423 0.082 0.268
Se4 0.577 0.918 0.732
Se5 0.763 0.763 0.267
Se6 0.918 0.577 0.732

No. 11
Computed, not measured: an optimized crystal structure of YTm2Ni9 at the PBE level of DFT.

* total magnetization: 0.087 μB per atom
* mass density: 9.3 g cm⁻³
* electronic total energy: -72.7 eV for the cell shown
* N(E_F): 1.27 states/eV/atom
* formation enthalpy at 0 K: -0.435 eV per atom

a = 8.548 Å, b = 8.548 Å, c = 8.548 Å
α = 33.66°, β = 33.66°, γ = 33.66°
Sites, in units of the cell vectors:
Y1 0.000 0.000 0.000
Tm1 0.140 0.140 0.140
Tm2 0.860 0.860 0.860
Ni1 0.081 0.584 0.584
Ni2 0.333 0.333 0.333
Ni3 0.416 0.416 0.919
Ni4 0.416 0.919 0.416
Ni5 0.500 0.500 0.500
Ni6 0.584 0.081 0.584
Ni7 0.584 0.584 0.081
Ni8 0.667 0.667 0.667
Ni9 0.919 0.416 0.416

No. 12
Computed, not measured: an optimized crystal structure of SrGa2Tc2P at the PBE level of DFT.

* total magnetization: 0.000 μB per atom
* mass density: 6.4 g cm⁻³
* electronic total energy: -36.1 eV for the cell shown
* N(E_F): 0.57 states/eV/atom
* formation enthalpy at 0 K: -0.375 eV per atom

a = 4.479 Å, b = 4.479 Å, c = 5.850 Å
α = 90.00°, β = 90.00°, γ = 90.00°
Sites, in units of the cell vectors:
Sr1 0.000 0.000 0.000
Ga1 0.500 0.500 0.237
Ga2 0.500 0.500 0.763
Tc1 0.000 0.500 0.500
Tc2 0.500 0.000 0.500
P1 0.000 0.000 0.500